A plane-wave DFT calculation with GGA-PBE was carried out for Bi4PdRh2 after structural relaxation.

Lattice parameters (Å, degrees): 7.142 7.142 8.128 107.29 107.29 108.83
Atoms (fractional coordinates):
Bi 0.002 0.998 0.500
Bi 0.407 0.911 0.820
Bi 0.432 0.922 0.315
Bi 0.516 0.529 0.006
Bi 0.529 0.516 0.506
Bi 0.911 0.407 0.320
Bi 0.922 0.432 0.815
Bi 0.998 0.002 0.000
Pd 0.207 0.457 0.162
Pd 0.457 0.207 0.662
Rh 0.212 0.460 0.651
Rh 0.460 0.212 0.151
Rh 0.718 0.970 0.667
Rh 0.970 0.718 0.167

total DFT energy (no corrections)	-5.2450	eV per atom
M_tot	0.00	μB per atom
calculated formation energy	-0.19	eV/atom
space-group type	No. 9
ρ	11.30	g/cm3
D(E_F)	9.884	states/eV per cell